# YTm2Ge2Rh5 | Alexandria | PBE-GGA | relaxed
data_YTm2Ge2Rh5
_space_group_name_H-M_alt 'P 1'
_space_group_IT_number 1
_cell_length_a 3.6666
_cell_length_b 9.8942
_cell_length_c 9.8942
_cell_angle_alpha 90.00
_cell_angle_beta 90.00
_cell_angle_gamma 90.00
loop_
_space_group_symop_operation_xyz
'x,y,z'
loop_
_atom_site_label
_atom_site_fract_x
_atom_site_fract_y
_atom_site_fract_z
Rh1 0.5000 0.9296 0.2165
Rh2 0.5000 0.0000 0.5000
Y1 0.0000 0.0000 0.0000
Rh3 0.5000 0.4296 0.2835
Tm1 0.0000 0.1729 0.3271
Rh4 0.5000 0.5704 0.7165
Rh5 0.5000 0.7165 0.4296
Ge1 0.0000 0.3764 0.1236
Ge2 0.0000 0.6236 0.8764
Tm2 0.0000 0.8271 0.6729
Rh6 0.5000 0.2165 0.0704
Y2 0.0000 0.5000 0.5000
Tm3 0.0000 0.3271 0.8271
Tm4 0.0000 0.6729 0.1729
Rh7 0.5000 0.0704 0.7835
Ge3 0.0000 0.1236 0.6236
Rh8 0.5000 0.2835 0.5704
Rh9 0.5000 0.7835 0.9296
Ge4 0.0000 0.8764 0.3764
Rh10 0.5000 0.5000 0.0000
# SG	P4/mbm (127)
# formation enthalpy at 0 K	-20.02	kcal/mol of atoms

=====

# CsRbCeF6 | Alexandria | PBE-GGA | relaxed
data_CsRbCeF6
_space_group_name_H-M_alt 'P 1'
_space_group_IT_number 1
_cell_length_a 7.0380
_cell_length_b 7.0380
_cell_length_c 10.3921
_cell_angle_alpha 90.00
_cell_angle_beta 90.00
_cell_angle_gamma 120.00
loop_
_space_group_symop_operation_xyz
'x,y,z'
loop_
_atom_site_label
_atom_site_fract_x
_atom_site_fract_y
_atom_site_fract_z
F1 0.3377 0.4072 0.8617
F2 0.3377 0.9304 0.6383
Ce1 0.3333 0.6667 0.7500
F3 0.6623 0.5928 0.1383
F4 0.9304 0.3377 0.1383
F5 0.5928 0.6623 0.6383
F6 0.5928 0.9304 0.8617
F7 0.6623 0.0696 0.3617
Rb1 0.3333 0.6667 0.2500
F8 0.4072 0.0696 0.1383
Cs1 0.0000 0.0000 0.5000
Ce2 0.6667 0.3333 0.2500
Cs2 0.0000 0.0000 0.0000
F9 0.0696 0.6623 0.8617
Rb2 0.6667 0.3333 0.7500
F10 0.0696 0.4072 0.6383
F11 0.4072 0.3377 0.3617
F12 0.9304 0.5928 0.3617
# SG	P-31c (163)
# energy relative to the elements, uncorrected	-3.39	eV per atom

=====

| no. | VASP energy (Ha/atom) | N(E_F) (states/eV/f.u.) | total magnetization (μB/cell) |
| --- | --- | --- | --- |
| 1 | -0.258 | 5.1 | 0.0 |
| 2 | -0.202 | 0.0 | 0.0 |